Computed, not measured: a relaxed structure of GdYMg4Ni2 at the PBE level of DFT. Values from VASP.

```
&SYSTEM
  ibrav = 0, nat = 8, ntyp = 4
/
ATOMIC_SPECIES
Gd 157.25 Gd.upf
Mg 24.30 Mg.upf
Ni 58.69 Ni.upf
Y 88.91 Y.upf
CELL_PARAMETERS angstrom
7.969 0.000 0.000
0.000 1.897 8.177
0.000 -1.897 8.177
ATOMIC_POSITIONS crystal
Gd 0.000 0.386 0.386
Mg 0.314 0.184 0.184
Mg 0.686 0.184 0.184
Mg 0.317 0.841 0.841
Mg 0.683 0.841 0.841
Ni 0.000 0.197 0.197
Ni 0.000 0.777 0.777
Y 0.000 0.590 0.590
```



! PBE ErPuCd, optimized geometry; values from VASP
&SYSTEM
  ibrav = 0, nat = 3, ntyp = 3
/
ATOMIC_SPECIES
Cd 112.41 Cd.upf
Er 167.26 Er.upf
Pu 244.00 Pu.upf
CELL_PARAMETERS angstrom
0.000 3.525 3.525
3.525 0.000 3.525
3.525 3.525 0.000
ATOMIC_POSITIONS crystal
Cd 0.250 0.250 0.250
Er 0.000 0.000 0.000
Pu 0.750 0.750 0.750
! ΔH_f (0 K) = 505 meV/atom
! relative energy among the computed polymorphs = 0 meV/atom



! PBE BeCoCu4Ge2, optimized geometry; values from VASP
&SYSTEM
  ibrav = 0, nat = 8, ntyp = 4
/
ATOMIC_SPECIES
Be 9.01 Be.upf
Co 58.93 Co.upf
Cu 63.55 Cu.upf
Ge 72.64 Ge.upf
CELL_PARAMETERS angstrom
-1.365 -1.071 3.523
-2.851 -2.072 -1.734
3.701 -5.016 -0.091
ATOMIC_POSITIONS crystal
Be 0.500 0.500 0.000
Co 0.000 0.000 0.500
Cu 0.500 0.000 0.236
Cu 0.000 0.500 0.236
Cu 0.500 0.000 0.764
Cu 0.000 0.500 0.764
Ge 0.000 0.000 0.000
Ge 0.500 0.500 0.500
! relative energy among the computed polymorphs = 6 meV/atom



Number 1: final energy -3.237 eV/atom. Number 2: final energy -6.023 eV/atom. Number 3: final energy -4.222 eV/atom.